Record 1
A plane-wave DFT calculation with GGA-PBE was carried out for an optimized crystal structure of Rb2PmSiO4.

```
data_Rb2PmSiO4
_cell_length_a 13.712
_cell_length_b 12.470
_cell_length_c 7.022
_cell_angle_alpha 84.50
_cell_angle_beta 64.85
_cell_angle_gamma 30.65
_symmetry_space_group_name_H-M 'P 1'
_symmetry_Int_Tables_number 1
_symmetry_space_group_name_Hall 'P 1'
loop_
_atom_site_label
_atom_site_type_symbol
_atom_site_fract_x
_atom_site_fract_y
_atom_site_fract_z
Rb1 Rb 0.058 0.058 0.692
Rb2 Rb 0.308 0.308 0.942
Rb3 Rb 0.692 0.692 0.058
Rb4 Rb 0.942 0.942 0.308
Pm1 Pm 0.125 0.125 0.125
Pm2 Pm 0.875 0.875 0.875
Si1 Si 0.375 0.375 0.375
Si2 Si 0.625 0.625 0.625
O1 O 0.083 0.596 0.514
O2 O 0.307 0.514 0.596
O3 O 0.404 0.917 0.693
O4 O 0.486 0.693 0.917
O5 O 0.514 0.307 0.083
O6 O 0.596 0.083 0.307
O7 O 0.693 0.486 0.404
O8 O 0.917 0.404 0.486
```

Summary:
Total moment in μB/cell: 0.00
D(E_F) in states/eV per cell: 3.964
Uncorrected formation energy in meV per atom: -2130



Record 2
A plane-wave DFT calculation with GGA-PBE was carried out for an optimized crystal structure of LiTbMgGe.

```
data_LiTbMgGe
_cell_length_a 4.880
_cell_length_b 4.880
_cell_length_c 4.880
_cell_angle_alpha 60.00
_cell_angle_beta 60.00
_cell_angle_gamma 60.00
_symmetry_space_group_name_H-M 'P 1'
_symmetry_Int_Tables_number 1
_symmetry_space_group_name_Hall 'P 1'
loop_
_atom_site_label
_atom_site_type_symbol
_atom_site_fract_x
_atom_site_fract_y
_atom_site_fract_z
Li1 Li 0.000 0.000 0.000
Tb1 Tb 0.750 0.750 0.750
Mg1 Mg 0.250 0.250 0.250
Ge1 Ge 0.500 0.500 0.500
```

Summary:
Total moment in μB/cell: 0.00
ΔE_f in kcal/mol of atoms: -7.04
D(E_F) in states/eV per cell: 1.467



Record 3
A plane-wave DFT calculation with GGA-PBE was carried out for an optimized crystal structure of BaTl2RePb.

```
data_BaTl2RePb
_cell_length_a 6.078
_cell_length_b 6.078
_cell_length_c 6.158
_cell_angle_alpha 90.00
_cell_angle_beta 90.00
_cell_angle_gamma 90.00
_symmetry_space_group_name_H-M 'P 1'
_symmetry_Int_Tables_number 1
_symmetry_space_group_name_Hall 'P 1'
loop_
_atom_site_label
_atom_site_type_symbol
_atom_site_fract_x
_atom_site_fract_y
_atom_site_fract_z
Ba1 Ba 0.000 0.000 0.000
Tl1 Tl 0.000 0.500 0.000
Tl2 Tl 0.500 0.000 0.000
Re1 Re 0.500 0.500 0.500
Pb1 Pb 0.000 0.000 0.500
```

Summary:
Total moment in μB/cell: 0.00
ΔE_f in kcal/mol of atoms: 54.45
D(E_F) in states/eV per cell: 13.041



Record 4
A plane-wave DFT calculation with GGA-PBE was carried out for an optimized crystal structure of HgSbAu.

```
data_HgSbAu
_cell_length_a 6.443
_cell_length_b 6.443
_cell_length_c 6.443
_cell_angle_alpha 152.97
_cell_angle_beta 143.77
_cell_angle_gamma 45.78
_symmetry_space_group_name_H-M 'P 1'
_symmetry_Int_Tables_number 1
_symmetry_space_group_name_Hall 'P 1'
loop_
_atom_site_label
_atom_site_type_symbol
_atom_site_fract_x
_atom_site_fract_y
_atom_site_fract_z
Hg1 Hg 0.000 0.000 0.000
Sb1 Sb 0.700 0.700 0.000
Au1 Au 0.338 0.338 0.000
```

Summary:
Total moment in μB/cell: 0.00
D(E_F) in states/eV per cell: 1.329
Uncorrected formation energy in meV per atom: 143



Record 5
A plane-wave DFT calculation with GGA-PBE was carried out for an optimized crystal structure of CaBe2.

```
data_CaBe2
_cell_length_a 4.660
_cell_length_b 4.660
_cell_length_c 5.562
_cell_angle_alpha 90.00
_cell_angle_beta 90.00
_cell_angle_gamma 120.00
_symmetry_space_group_name_H-M 'P 1'
_symmetry_Int_Tables_number 1
_symmetry_space_group_name_Hall 'P 1'
loop_
_atom_site_label
_atom_site_type_symbol
_atom_site_fract_x
_atom_site_fract_y
_atom_site_fract_z
Ca1 Ca 0.333 0.667 0.250
Ca2 Ca 0.667 0.333 0.750
Be1 Be 0.000 0.000 0.000
Be2 Be 0.000 0.000 0.500
Be3 Be 0.333 0.667 0.750
Be4 Be 0.667 0.333 0.250
```

Summary:
Total moment in μB/cell: 0.00
Distance to the lowest polymorph of the same formula in eV per formula unit: 1.520
ΔE_f in kcal/mol of atoms: 15.88
D(E_F) in states/eV per cell: 3.769



Record 6
A plane-wave DFT calculation with GGA-PBE was carried out for an optimized crystal structure of ErTh2PdRh5.

```
data_ErTh2PdRh5
_cell_length_a 7.987
_cell_length_b 7.987
_cell_length_c 7.987
_cell_angle_alpha 116.82
_cell_angle_beta 116.82
_cell_angle_gamma 95.60
_symmetry_space_group_name_H-M 'P 1'
_symmetry_Int_Tables_number 1
_symmetry_space_group_name_Hall 'P 1'
loop_
_atom_site_label
_atom_site_type_symbol
_atom_site_fract_x
_atom_site_fract_y
_atom_site_fract_z
Er1 Er 0.250 0.250 0.000
Er2 Er 0.750 0.750 0.000
Th1 Th 0.139 0.639 0.779
Th2 Th 0.361 0.139 0.500
Th3 Th 0.639 0.861 0.500
Th4 Th 0.861 0.361 0.221
Pd1 Pd 0.250 0.750 0.500
Pd2 Pd 0.750 0.250 0.500
Rh1 Rh 0.000 0.000 0.000
Rh2 Rh 0.053 0.173 0.500
Rh3 Rh 0.173 0.673 0.120
Rh4 Rh 0.327 0.447 0.500
Rh5 Rh 0.447 0.947 0.120
Rh6 Rh 0.500 0.500 0.000
Rh7 Rh 0.553 0.053 0.880
Rh8 Rh 0.673 0.553 0.500
Rh9 Rh 0.827 0.327 0.880
Rh10 Rh 0.947 0.827 0.500
```

Summary:
Total moment in μB/cell: 0.00
ΔE_f in kcal/mol of atoms: -8.92
D(E_F) in states/eV per cell: 15.293



Record 7
A plane-wave DFT calculation with GGA-PBE was carried out for an optimized crystal structure of Sm2YCo6.

```
data_Sm2YCo6
_cell_length_a 6.700
_cell_length_b 6.700
_cell_length_c 4.123
_cell_angle_alpha 90.00
_cell_angle_beta 90.00
_cell_angle_gamma 120.00
_symmetry_space_group_name_H-M 'P 1'
_symmetry_Int_Tables_number 1
_symmetry_space_group_name_Hall 'P 1'
loop_
_atom_site_label
_atom_site_type_symbol
_atom_site_fract_x
_atom_site_fract_y
_atom_site_fract_z
Sm1 Sm 0.333 0.667 0.000
Sm2 Sm 0.667 0.333 0.000
Y1 Y 0.000 0.000 0.000
Co1 Co 0.000 0.332 0.500
Co2 Co 0.000 0.668 0.500
Co3 Co 0.332 0.000 0.500
Co4 Co 0.332 0.332 0.500
Co5 Co 0.668 0.000 0.500
Co6 Co 0.668 0.668 0.500
```

Summary:
Total moment in μB/cell: 4.45
ΔE_f in kcal/mol of atoms: -3.10
D(E_F) in states/eV per cell: 6.844



Record 8
A plane-wave DFT calculation with GGA-PBE was carried out for an optimized crystal structure of Na4SmTh3Se8.

```
data_Na4SmTh3Se8
_cell_length_a 8.649
_cell_length_b 8.649
_cell_length_c 8.649
_cell_angle_alpha 57.70
_cell_angle_beta 57.70
_cell_angle_gamma 57.70
_symmetry_space_group_name_H-M 'P 1'
_symmetry_Int_Tables_number 1
_symmetry_space_group_name_Hall 'P 1'
loop_
_atom_site_label
_atom_site_type_symbol
_atom_site_fract_x
_atom_site_fract_y
_atom_site_fract_z
Na1 Na 0.000 0.000 0.000
Na2 Na 0.000 0.500 0.500
Na3 Na 0.500 0.000 0.500
Na4 Na 0.500 0.500 0.000
Sm1 Sm 0.500 0.500 0.500
Th1 Th 0.000 0.000 0.500
Th2 Th 0.000 0.500 0.000
Th3 Th 0.500 0.000 0.000
Se1 Se 0.247 0.747 0.747
Se2 Se 0.248 0.248 0.248
Se3 Se 0.253 0.253 0.753
Se4 Se 0.253 0.753 0.253
Se5 Se 0.747 0.247 0.747
Se6 Se 0.747 0.747 0.247
Se7 Se 0.752 0.752 0.752
Se8 Se 0.753 0.253 0.253
```

Summary:
Total moment in μB/cell: 0.00
D(E_F) in states/eV per cell: 9.429
Uncorrected formation energy in meV per atom: -1530



> Number 3 is which compound?

BaTl2RePb



> What is the formula in the first record?

Rb2PmSiO4